Compound: Tb2AgB2Rh5
Source: Alexandria via LeMat-Bulk
Functional: PBE-GGA
Structure: optimized geometry

Cell: 3.233 9.625 9.625 Å, 90.00 90.00 90.00°
Positions (direct):
Ag1 0.000 0.500 0.500
Ag2 0.000 0.000 0.000
Tb1 0.000 0.176 0.324
Tb2 0.000 0.676 0.176
Tb3 0.000 0.824 0.676
Tb4 0.000 0.324 0.824
Rh1 0.500 0.727 0.429
Rh2 0.500 0.273 0.571
Rh3 0.500 0.571 0.727
Rh4 0.500 0.429 0.273
Rh5 0.500 0.929 0.227
Rh6 0.500 0.500 0.000
Rh7 0.500 0.071 0.773
Rh8 0.500 0.000 0.500
Rh9 0.500 0.227 0.071
Rh10 0.500 0.773 0.929
B1 0.000 0.877 0.377
B2 0.000 0.377 0.123
B3 0.000 0.623 0.877
B4 0.000 0.123 0.623

Results
Volume ... 299.5 Å³/cell
Crystal system ... tetragonal
E_form ... -6.32 eV/f.u.
Uncorrected energy ... -6.854 eV/atom
DOS at the Fermi energy ... 0.360 states/eV/atom